No. 1
A plane-wave DFT calculation with PBE+U was carried out for a relaxed Sr2MgMnO5 crystal.

a b c (Å): 3.434 13.106 10.627
angles (deg): 90.00 90.00 90.00
Space group Cmc2_1 (No. 36)
Symmetry-distinct sites (fractional):
Sr (0.000, 0.107, 0.000) (multiplicity 4)
Sr (0.000, 0.154, 0.630) (multiplicity 4)
Mg (0.000, 0.208, 0.344) (multiplicity 4)
Mn (0.000, 0.471, 0.767) (multiplicity 4)
O (0.000, 0.045, 0.330) (multiplicity 4)
O (0.000, 0.287, 0.970) (multiplicity 4)
O (0.000, 0.330, 0.714) (multiplicity 4)
O (0.000, 0.380, 0.320) (multiplicity 4)
O (0.000, 0.490, 0.108) (multiplicity 4)

The value obtained for the electronic total energy is -0.2294 Ha/atom.


No. 2
A plane-wave DFT calculation with PBE+U was carried out for a relaxed Sr2MgMnO4 crystal.

a b c (Å): 6.773 6.826 9.600
angles (deg): 90.00 90.00 90.00
Space group Imma (No. 74)
Symmetry-distinct sites (fractional):
Sr (0.000, 0.000, 0.000) (multiplicity 4)
Sr (0.250, 0.250, 0.250) (multiplicity 4)
Mg (0.250, 0.250, 0.750) (multiplicity 4)
Mn (0.000, 0.000, 0.500) (multiplicity 4)
O (0.000, 0.024, 0.742) (multiplicity 8)
O (0.232, 0.250, 0.513) (multiplicity 8)

The value obtained for the electronic total energy is -0.2328 Ha/atom. As for the density of states at the Fermi level: 0.00 states/eV/cell.


No. 3
A plane-wave DFT calculation with PBE+U was carried out for a relaxed MgTaMn2O6 crystal.

a b c (Å): 5.246 5.247 5.566
angles (deg): 62.07 62.02 60.02
Space group P1 (No. 1)
Symmetry-distinct sites (fractional):
Mg (0.000, 0.000, 0.000) (multiplicity 1)
Ta (0.503, 0.507, 0.482) (multiplicity 1)
Mn (0.304, 0.307, 0.080) (multiplicity 1)
Mn (0.779, 0.782, 0.656) (multiplicity 1)
O (0.125, 0.379, 0.801) (multiplicity 1)
O (0.232, 0.893, 0.295) (multiplicity 1)
O (0.377, 0.694, 0.802) (multiplicity 1)
O (0.577, 0.233, 0.295) (multiplicity 1)
O (0.692, 0.127, 0.802) (multiplicity 1)
O (0.891, 0.578, 0.294) (multiplicity 1)

The value obtained for the electronic total energy is -0.2928 Ha/atom. As for the density of states at the Fermi level: 0.00 states/eV/cell.


No. 4
A plane-wave DFT calculation with PBE+U was carried out for a relaxed Mg2Ta2Mn2O9 crystal.

a b c (Å): 5.2895 5.2895 14.4549
angles (deg): 90.00 90.00 120.00
Space group P-3c1 (No. 165)
Symmetry-distinct sites (fractional):
Mg (0.3333, 0.6667, 0.3091) (multiplicity 4)
Ta (0.0000, 0.0000, 0.1458) (multiplicity 4)
Mn (0.3333, 0.6667, 0.0209) (multiplicity 4)
O (0.0000, 0.2874, 0.2500) (multiplicity 6)
O (0.0362, 0.3434, 0.9118) (multiplicity 12)

The value obtained for the electronic total energy is -0.3055 Ha/atom. As for the density of states at the Fermi level: 0.00 states/eV/cell.


No. 5
A plane-wave DFT calculation with PBE+U was carried out for a relaxed MgTaMnO6 crystal.

a b c (Å): 4.679 4.679 9.115
angles (deg): 90.00 90.00 90.00
Space group P4_2nm (No. 102)
Symmetry-distinct sites (fractional):
Mg (0.000, 0.000, 0.000) (multiplicity 2)
Ta (0.000, 0.000, 0.664) (multiplicity 2)
Mn (0.000, 0.000, 0.332) (multiplicity 2)
O (0.188, 0.188, 0.493) (multiplicity 4)
O (0.198, 0.198, 0.177) (multiplicity 4)
O (0.210, 0.210, 0.821) (multiplicity 4)

The value obtained for the electronic total energy is -0.2828 Ha/atom. As for the density of states at the Fermi level: 9.02 states/eV/cell.


No. 6
A plane-wave DFT calculation with PBE+U was carried out for a relaxed MgMnTcO6 crystal.

a b c (Å): 4.717 4.717 8.917
angles (deg): 90.00 90.00 90.00
Space group P4_2nm (No. 102)
Symmetry-distinct sites (fractional):
Mg (0.000, 0.000, 0.000) (multiplicity 2)
Mn (0.000, 0.000, 0.670) (multiplicity 2)
Tc (0.000, 0.000, 0.333) (multiplicity 2)
O (0.186, 0.186, 0.500) (multiplicity 4)
O (0.194, 0.194, 0.185) (multiplicity 4)
O (0.208, 0.208, 0.831) (multiplicity 4)

The value obtained for the electronic total energy is -0.2596 Ha/atom. As for the density of states at the Fermi level: 1.50 states/eV/cell.


No. 7
A plane-wave DFT calculation with PBE+U was carried out for a relaxed Mg2MnTcO6 crystal.

a b c (Å): 5.2026 5.2026 13.9979
angles (deg): 90.00 90.00 120.00
Space group R3 (No. 146, hexagonal axes)
Symmetry-distinct sites (fractional):
Mg (0.0000, 0.0000, 0.0000) (multiplicity 3)
Mg (0.0000, 0.0000, 0.4997) (multiplicity 3)
Mn (0.0000, 0.0000, 0.7124) (multiplicity 3)
Tc (0.0000, 0.0000, 0.2038) (multiplicity 3)
O (0.0320, 0.3373, 0.2697) (multiplicity 9)
O (0.0420, 0.6688, 0.7756) (multiplicity 9)

The value obtained for the electronic total energy is -0.2576 Ha/atom. As for the density of states at the Fermi level: 12.43 states/eV/cell.


No. 8
A plane-wave DFT calculation with PBE+U was carried out for a relaxed Mg2MnTeO6 crystal.

a b c (Å): 5.2714 5.2714 14.2373
angles (deg): 90.00 90.00 120.00
Space group R3 (No. 146, hexagonal axes)
Symmetry-distinct sites (fractional):
Mg (0.0000, 0.0000, 0.0000) (multiplicity 3)
Mg (0.0000, 0.0000, 0.4912) (multiplicity 3)
Mn (0.0000, 0.0000, 0.2794) (multiplicity 3)
Te (0.0000, 0.0000, 0.7956) (multiplicity 3)
O (0.9999, 0.3601, 0.0601) (multiplicity 9)
O (0.0511, 0.6766, 0.5516) (multiplicity 9)

The value obtained for the electronic total energy is -0.2300 Ha/atom.


No. 9
A plane-wave DFT calculation with PBE+U was carried out for a relaxed MgTiMnO4 crystal.

a b c (Å): 5.954 6.025 8.431
angles (deg): 90.00 90.00 90.00
Space group Imma (No. 74)
Symmetry-distinct sites (fractional):
Mg (0.000, 0.250, 0.126) (multiplicity 4)
Ti (0.250, 0.250, 0.750) (multiplicity 4)
Mn (0.000, 0.000, 0.500) (multiplicity 4)
O (0.000, 0.018, 0.740) (multiplicity 8)
O (0.227, 0.250, 0.509) (multiplicity 8)

The value obtained for the electronic total energy is -0.2746 Ha/atom. As for the density of states at the Fermi level: 7.16 states/eV/cell.


No. 10
A plane-wave DFT calculation with PBE+U was carried out for a relaxed Mg30TiMnO32 crystal.

a b c (Å): 8.554 8.554 8.544
angles (deg): 90.00 90.00 90.00
Space group P4/mmm (No. 123)
Symmetry-distinct sites (fractional):
Mg (0.000, 0.000, 0.000) (multiplicity 1)
Mg (0.000, 0.000, 0.500) (multiplicity 1)
Mg (0.000, 0.250, 0.250) (multiplicity 8)
Mg (0.000, 0.500, 0.000) (multiplicity 2)
Mg (0.000, 0.500, 0.500) (multiplicity 2)
Mg (0.247, 0.500, 0.250) (multiplicity 8)
Mg (0.249, 0.249, 0.000) (multiplicity 4)
Mg (0.249, 0.249, 0.500) (multiplicity 4)
Ti (0.500, 0.500, 0.000) (multiplicity 1)
Mn (0.500, 0.500, 0.500) (multiplicity 1)
O (0.000, 0.000, 0.250) (multiplicity 2)
O (0.000, 0.249, 0.000) (multiplicity 4)
O (0.000, 0.249, 0.500) (multiplicity 4)
O (0.000, 0.500, 0.250) (multiplicity 4)
O (0.244, 0.500, 0.000) (multiplicity 4)
O (0.244, 0.500, 0.500) (multiplicity 4)
O (0.251, 0.251, 0.250) (multiplicity 8)
O (0.500, 0.500, 0.246) (multiplicity 2)

The value obtained for the electronic total energy is -0.2243 Ha/atom. As for the density of states at the Fermi level: 8.26 states/eV/cell.


No. 11
A plane-wave DFT calculation with PBE+U was carried out for a relaxed Mg2UMnO8 crystal.

a b c (Å): 6.599 6.728 6.338
angles (deg): 90.00 90.00 90.00
Space group Cmmm (No. 65)
Symmetry-distinct sites (fractional):
Mg (0.000, 0.000, 0.242) (multiplicity 4)
U (0.000, 0.500, 0.500) (multiplicity 2)
Mn (0.000, 0.500, 0.000) (multiplicity 2)
O (0.000, 0.309, 0.228) (multiplicity 8)
O (0.201, 0.000, 0.500) (multiplicity 4)
O (0.213, 0.000, 0.000) (multiplicity 4)

The value obtained for the electronic total energy is -0.2670 Ha/atom. As for the density of states at the Fermi level: 7.62 states/eV/cell.


No. 12
A plane-wave DFT calculation with PBE+U was carried out for a relaxed MgUMnO6 crystal.

a b c (Å): 4.761 4.761 9.400
angles (deg): 90.00 90.00 90.00
Space group P4_2nm (No. 102)
Symmetry-distinct sites (fractional):
Mg (0.000, 0.000, 0.000) (multiplicity 2)
U (0.000, 0.000, 0.335) (multiplicity 2)
Mn (0.000, 0.000, 0.671) (multiplicity 2)
O (0.186, 0.186, 0.512) (multiplicity 4)
O (0.188, 0.188, 0.825) (multiplicity 4)
O (0.207, 0.207, 0.172) (multiplicity 4)

The value obtained for the electronic total energy is -0.2934 Ha/atom.